Entry 1:
Material: PaFeIr
Method: DFT, GGA-PBE
State: relaxed

Output
ΔE_f: -0.5439 eV per atom
electronic total energy: -9.4838 eV per atom

abc: 5.255 5.255 5.255
angles: 123.85 117.58 88.85
Element x y z (fractional)
1 Pa 0.377 0.127 0.250
2 Pa 0.623 0.873 0.750
3 Fe 0.000 0.000 0.500
4 Fe 0.000 0.500 0.000
5 Ir 0.000 0.500 0.500
6 Ir 0.500 0.500 0.000

=====

Entry 2:
Material: PaFe2Ir
Method: DFT, GGA-PBE
State: relaxed

Output
ΔE_f: -0.3019 eV per atom
electronic total energy: -9.1225 eV per atom

abc: 3.980 3.980 3.945
angles: 90.00 90.00 90.00
Element x y z (fractional)
1 Pa 0.000 0.000 0.000
2 Fe 0.000 0.500 0.500
3 Fe 0.500 0.000 0.500
4 Ir 0.500 0.500 0.000

=====

Entry 3:
Material: PmPaFeIr
Method: DFT, GGA-PBE
State: relaxed

Output
ΔE_f: -0.1909 eV per atom
electronic total energy: -8.0835 eV per atom

abc: 4.886 4.886 4.886
angles: 60.00 60.00 60.00
Element x y z (fractional)
1 Pm 0.000 0.000 0.000
2 Pa 0.500 0.500 0.500
3 Fe 0.250 0.250 0.250
4 Ir 0.750 0.750 0.750

=====

Entry 4:
Material: PuPaFeIr
Method: DFT, GGA-PBE
State: relaxed

Output
ΔE_f: -0.2498 eV per atom
electronic total energy: -10.5377 eV per atom

abc: 4.810 4.810 4.810
angles: 60.00 60.00 60.00
Element x y z (fractional)
1 Pu 0.000 0.000 0.000
2 Pa 0.500 0.500 0.500
3 Fe 0.250 0.250 0.250
4 Ir 0.750 0.750 0.750

=====

Entry 5:
Material: PaFeSi2Ir
Method: DFT, GGA-PBE
State: relaxed

Output
E_form (uncorrected): -0.8293 eV per atom
electronic total energy: -8.3625 eV per atom

abc: 5.641 5.641 5.641
angles: 138.13 138.13 60.70
Element x y z (fractional)
1 Pa 0.000 0.000 0.000
2 Fe 0.750 0.250 0.500
3 Si 0.376 0.376 0.000
4 Si 0.624 0.624 0.000
5 Ir 0.250 0.750 0.500

=====

Entry 6:
Material: Pa2FeSi4Ir3
Method: DFT, GGA-PBE
State: relaxed

Output
E_form (uncorrected): -0.9113 eV per atom
electronic total energy: -8.4843 eV per atom

abc: 4.100 4.100 9.781
angles: 90.00 90.00 90.00
Element x y z (fractional)
1 Pa 0.000 0.500 0.242
2 Pa 0.500 0.000 0.758
3 Fe 0.500 0.500 0.000
4 Si 0.000 0.000 0.500
5 Si 0.000 0.500 0.874
6 Si 0.500 0.000 0.126
7 Si 0.500 0.500 0.500
8 Ir 0.000 0.000 0.000
9 Ir 0.000 0.500 0.630
10 Ir 0.500 0.000 0.370

=====

Entry 7:
Material: PaFeSi3Ir
Method: DFT, GGA-PBE
State: relaxed

Output
E_form (uncorrected): -0.3510 eV per atom
electronic total energy: -7.5324 eV per atom

abc: 7.137 7.137 5.491
angles: 90.00 90.00 128.38
Element x y z (fractional)
1 Pa 0.170 0.830 0.750
2 Pa 0.830 0.170 0.250
3 Fe 0.037 0.963 0.250
4 Fe 0.963 0.037 0.750
5 Si 0.207 0.793 0.250
6 Si 0.289 0.289 0.000
7 Si 0.289 0.289 0.500
8 Si 0.711 0.711 0.000
9 Si 0.711 0.711 0.500
10 Si 0.793 0.207 0.750
11 Ir 0.382 0.618 0.250
12 Ir 0.618 0.382 0.750

=====

Entry 8:
Material: PaFeSnIr
Method: DFT, GGA-PBE
State: relaxed

Output
ΔE_f: -0.2690 eV per atom
electronic total energy: -7.9746 eV per atom

abc: 4.739 4.739 4.739
angles: 60.00 60.00 60.00
Element x y z (fractional)
1 Pa 0.000 0.000 0.000
2 Fe 0.250 0.250 0.250
3 Sn 0.500 0.500 0.500
4 Ir 0.750 0.750 0.750

=====

Entry 9:
Material: TmPaFeIr
Method: DFT, GGA-PBE
State: relaxed

Output
ΔE_f: -0.3684 eV per atom
electronic total energy: -8.1912 eV per atom

abc: 4.803 4.803 4.803
angles: 60.00 60.00 60.00
Element x y z (fractional)
1 Tm 0.000 0.000 0.000
2 Pa 0.500 0.500 0.500
3 Fe 0.750 0.750 0.750
4 Ir 0.250 0.250 0.250

=====

Entry 10:
Material: FeIr2Pb
Method: DFT, GGA-PBE
State: relaxed

Output
ΔE_f: 0.4738 eV per atom
electronic total energy: -6.9994 eV per atom

abc: 3.001 3.001 7.541
angles: 90.00 90.00 90.00
Element x y z (fractional)
1 Fe 0.000 0.000 0.000
2 Ir 0.000 0.000 0.423
3 Ir 0.500 0.500 0.189
4 Pb 0.500 0.500 0.703

=====

Entry 11:
Material: FeIr2Pb
Method: DFT, GGA-PBE
State: relaxed

Output
ΔE_f: 0.3884 eV per atom
electronic total energy: -7.0849 eV per atom

abc: 4.715 4.715 5.017
angles: 100.37 100.37 37.28
Element x y z (fractional)
1 Fe 0.000 0.000 0.000
2 Ir 0.262 0.262 0.786
3 Ir 0.738 0.738 0.214
4 Pb 0.500 0.500 0.500

=====

Entry 12:
Material: Fe2IrPb
Method: DFT, GGA-PBE
State: relaxed

Output
ΔE_f: 0.5798 eV per atom
electronic total energy: -6.7939 eV per atom

abc: 8.855 8.855 8.855
angles: 19.40 19.40 19.40
Element x y z (fractional)
1 Fe 0.242 0.242 0.242
2 Fe 0.758 0.758 0.758
3 Ir 0.500 0.500 0.500
4 Pb 0.000 0.000 0.000

=====

Entry 13:
Material: Fe2IrPb
Method: DFT, GGA-PBE
State: relaxed

Output
ΔE_f: 0.4305 eV per atom
electronic total energy: -6.9432 eV per atom

abc: 4.891 4.891 4.891
angles: 132.33 132.04 69.94
Element x y z (fractional)
1 Fe 0.250 0.250 0.000
2 Fe 0.750 0.750 0.000
3 Ir 0.500 0.000 0.500
4 Pb 0.000 0.500 0.500

=====

Entry 14:
Material: FeIr2Pb
Method: DFT, GGA-PBE
State: relaxed

Output
ΔE_f: 0.4282 eV per atom
electronic total energy: -7.0450 eV per atom

abc: 2.881 3.756 6.292
angles: 90.00 90.00 90.00
Element x y z (fractional)
1 Fe 0.000 0.000 0.000
2 Ir 0.000 0.000 0.402
3 Ir 0.500 0.500 0.169
4 Pb 0.500 0.500 0.688

=====

Entry 15:
Material: FeIr2Pb
Method: DFT, GGA-PBE
State: relaxed

Output
ΔE_f: 0.9733 eV per atom
electronic total energy: -6.5000 eV per atom

abc: 6.954 6.954 6.954
angles: 131.90 131.90 70.39
Element x y z (fractional)
1 Fe 0.000 0.000 0.000
2 Fe 0.750 0.250 0.500
3 Ir 0.053 0.625 0.928
4 Ir 0.375 0.303 0.428
5 Ir 0.697 0.125 0.072
6 Ir 0.875 0.947 0.572
7 Pb 0.250 0.750 0.500
8 Pb 0.500 0.500 0.000

=====

Entry 16:
Material: Fe2IrPb
Method: DFT, GGA-PBE
State: relaxed

Output
ΔE_f: 0.3844 eV per atom
electronic total energy: -6.9893 eV per atom

abc: 3.951 3.951 4.008
angles: 90.00 90.00 90.00
Element x y z (fractional)
1 Fe 0.000 0.500 0.000
2 Fe 0.500 0.000 0.000
3 Ir 0.000 0.000 0.500
4 Pb 0.500 0.500 0.500

=====

Entry 17:
Material: FeIr2Pb
Method: DFT, GGA-PBE
State: relaxed

Output
ΔE_f: 0.4723 eV per atom
electronic total energy: -7.0010 eV per atom

abc: 5.522 5.522 5.522
angles: 149.51 128.93 60.65
Element x y z (fractional)
1 Fe 0.000 0.000 0.000
2 Ir 0.228 0.728 0.500
3 Ir 0.772 0.272 0.500
4 Pb 0.500 0.500 0.000

=====

Entry 18:
Material: FeIr2Pb
Method: DFT, GGA-PBE
State: relaxed

Output
ΔE_f: 0.4648 eV per atom
electronic total energy: -7.0084 eV per atom

abc: 2.925 4.455 5.206
angles: 90.00 98.65 90.00
Element x y z (fractional)
1 Fe 0.000 0.000 0.000
2 Ir 0.187 0.500 0.783
3 Ir 0.813 0.500 0.217
4 Pb 0.500 0.000 0.500

=====

Entry 19:
Material: FeIr2Pb
Method: DFT, GGA-PBE
State: relaxed

Output
ΔE_f: 0.4563 eV per atom
electronic total energy: -7.0170 eV per atom

abc: 8.969 8.969 8.969
angles: 19.22 19.22 19.22
Element x y z (fractional)
1 Fe 0.000 0.000 0.000
2 Ir 0.262 0.262 0.262
3 Ir 0.738 0.738 0.738
4 Pb 0.500 0.500 0.500

=====

Entry 20:
Material: FeIr2Pb
Method: DFT, GGA-PBE
State: relaxed

Output
ΔE_f: 0.4468 eV per atom
electronic total energy: -7.0265 eV per atom

abc: 4.708 4.708 3.041
angles: 90.00 90.00 102.37
Element x y z (fractional)
1 Fe 0.000 0.000 0.000
2 Ir 0.000 0.500 0.500
3 Ir 0.500 0.000 0.500
4 Pb 0.500 0.500 0.000